CePtCl6 | PBE | optimized geometry

## Properties
- Formation energy from raw total energies: -10.489 eV/f.u.
- Final energy: -0.30818 Ry/atom
- SG: C2/m, No. 12
- Magnetization: 0.15 μB/f.u.

a = 6.7282 Å, b = 6.7282 Å, c = 7.3884 Å
α = 105.34°, β = 105.34°, γ = 112.88°
Element x y z (fractional)
1 Ce 0.0000 0.0000 0.0000
2 Pt 0.0000 0.0000 0.5000
3 Cl 0.1424 0.8359 0.2829
4 Cl 0.1641 0.8576 0.7171
5 Cl 0.3863 0.3863 0.1947
6 Cl 0.6137 0.6137 0.8053
7 Cl 0.8359 0.1424 0.2829
8 Cl 0.8576 0.1641 0.7171

BPH | PBE | optimized geometry

## Properties
- D(E_F): 1.2 states/eV per cell
- ΔE to the lowest computed polymorph: 274 meV per atom
- Final energy: -0.36051 Ry/atom
- SG: P1, No. 1
- Magnetization: 0.00 μB/f.u.

a = 2.5151 Å, b = 3.1895 Å, c = 5.2726 Å
α = 86.34°, β = 76.75°, γ = 67.29°
Element x y z (fractional)
1 B 0.0000 0.0000 0.0000
2 P 0.6176 0.5783 0.1980
3 H 0.1218 0.9898 0.7659

HfMgZn2Fe | PBE | optimized geometry

## Properties
- D(E_F): 4.4 states/eV per cell
- Formation enthalpy at 0 K: 0.307 eV per atom
- Final energy: -0.30904 Ry/atom
- SG: P4/mmm, No. 123
- Magnetization: 0.01 μB/f.u.

a = 4.6953 Å, b = 4.6953 Å, c = 4.4922 Å
α = 90.00°, β = 90.00°, γ = 90.00°
Element x y z (fractional)
1 Hf 0.0000 0.0000 0.0000
2 Mg 0.5000 0.5000 0.0000
3 Zn 0.0000 0.5000 0.5000
4 Zn 0.5000 0.0000 0.5000
5 Fe 0.0000 0.0000 0.5000

CaTe2Au | PBE | optimized geometry

## Properties
- D(E_F): 5.2 states/eV per cell
- Formation energy from raw total energies: -2.303 eV/f.u.
- Final energy: -0.25476 Ry/atom
- SG: R-3m, No. 166
- Magnetization: 0.00 μB/f.u.

a = 7.5433 Å, b = 7.5433 Å, c = 7.5433 Å
α = 33.55°, β = 33.55°, γ = 33.55°
Element x y z (fractional)
1 Ca 0.0000 0.0000 0.0000
2 Te 0.2397 0.2397 0.2397
3 Te 0.7603 0.7603 0.7603
4 Au 0.5000 0.5000 0.5000

> What is the final energy in the third record?

-0.30904 Ry/atom